# 1
{
  "formula": "TbMnP2Ru",
  "functional": "PBE",
  "state": "optimized geometry",
  "crystal_system": "tetragonal",
  "formation_enthalpy_0k_ev_per_atom": -0.966,
  "n_ef_per_ev_cell": 5.2,
  "total_magnetization_mub_per_cell": 0.0,
  "cell": [[4.001, 0.000, 0.000], [0.000, 4.001, 0.000], [0.000, 0.000, 9.500]],
  "species": ["Tb", "Tb", "Mn", "Mn", "P", "P", "P", "P", "Ru", "Ru"],
  "fractional_positions": [[0.000, 0.000, 0.000], [0.500, 0.500, 0.500], [0.000, 0.500, 0.750], [0.500, 0.000, 0.250], [0.000, 0.000, 0.369], [0.000, 0.000, 0.631], [0.500, 0.500, 0.131], [0.500, 0.500, 0.869], [0.000, 0.500, 0.250], [0.500, 0.000, 0.750]]
}


# 2
{
  "formula": "MnP3S9",
  "functional": "PBE",
  "state": "optimized geometry",
  "crystal_system": "monoclinic",
  "n_ef_per_ev_cell": 2.1,
  "formation_energy_uncorrected_mev_per_atom": -103.9,
  "total_magnetization_mub_per_cell": 8.0,
  "cell": [[8.222, -4.026, 0.000], [8.222, 4.026, 0.000], [-6.823, 0.000, 8.942]],
  "species": ["Mn", "Mn", "P", "P", "P", "P", "P", "P", "S", "S", "S", "S", "S", "S", "S", "S", "S", "S", "S", "S", "S", "S", "S", "S", "S", "S"],
  "fractional_positions": [[0.232, 0.768, 0.500], [0.768, 0.232, 0.000], [0.133, 0.315, 0.707], [0.315, 0.133, 0.207], [0.534, 0.711, 0.309], [0.711, 0.534, 0.809], [0.777, 0.917, 0.156], [0.917, 0.777, 0.656], [0.062, 0.229, 0.045], [0.138, 0.808, 0.686], [0.229, 0.062, 0.545], [0.281, 0.917, 0.203], [0.314, 0.387, 0.903], [0.387, 0.314, 0.403], [0.424, 0.586, 0.322], [0.482, 0.968, 0.056], [0.527, 0.748, 0.711], [0.586, 0.424, 0.822], [0.641, 0.911, 0.504], [0.748, 0.527, 0.211], [0.808, 0.138, 0.186], [0.869, 0.897, 0.854], [0.897, 0.869, 0.354], [0.911, 0.641, 0.004], [0.917, 0.281, 0.703], [0.968, 0.482, 0.556]]
}


# 3
{
  "formula": "MnPS3",
  "functional": "PBE",
  "state": "optimized geometry",
  "crystal_system": "cubic",
  "n_ef_per_ev_cell": 5.7,
  "formation_energy_uncorrected_mev_per_atom": 638.3,
  "total_magnetization_mub_per_cell": 0.0,
  "cell": [[4.375, 0.000, 0.000], [0.000, 4.375, 0.000], [0.000, 0.000, 4.375]],
  "species": ["Mn", "P", "S", "S", "S"],
  "fractional_positions": [[0.000, 0.000, 0.000], [0.500, 0.500, 0.500], [0.000, 0.000, 0.500], [0.000, 0.500, 0.000], [0.500, 0.000, 0.000]]
}


# 4
{
  "formula": "MnPS3",
  "functional": "PBE",
  "state": "optimized geometry",
  "crystal_system": "cubic",
  "n_ef_per_ev_cell": 7.9,
  "formation_energy_uncorrected_mev_per_atom": 996.6,
  "total_magnetization_mub_per_cell": 0.3,
  "cell": [[4.418, 0.000, 0.000], [0.000, 4.418, 0.000], [0.000, 0.000, 4.418]],
  "species": ["Mn", "P", "S", "S", "S"],
  "fractional_positions": [[0.000, 0.000, 0.000], [0.500, 0.500, 0.500], [0.000, 0.500, 0.500], [0.500, 0.000, 0.500], [0.500, 0.500, 0.000]]
}


# 5
{
  "formula": "Mn2PS6",
  "functional": "PBE",
  "state": "optimized geometry",
  "crystal_system": "trigonal",
  "formation_energy_uncorrected_mev_per_atom": -444.5,
  "total_magnetization_mub_per_cell": 5.0,
  "cell": [[5.771, 0.000, 0.000], [-2.885, 4.998, 0.000], [0.000, 0.000, 6.354]],
  "species": ["Mn", "Mn", "P", "S", "S", "S", "S", "S", "S"],
  "fractional_positions": [[0.333, 0.667, 0.000], [0.667, 0.333, 0.000], [0.000, 0.000, 0.000], [0.000, 0.325, 0.201], [0.000, 0.675, 0.799], [0.325, 0.000, 0.201], [0.325, 0.325, 0.799], [0.675, 0.000, 0.799], [0.675, 0.675, 0.201]]
}


# 6
{
  "formula": "Mn3PS",
  "functional": "PBE",
  "state": "optimized geometry",
  "crystal_system": "cubic",
  "e_above_lowest_polymorph_kj_per_mol_fu": 0,
  "n_ef_per_ev_cell": 4.8,
  "formation_energy_uncorrected_mev_per_atom": 376.6,
  "total_magnetization_mub_per_cell": 8.4,
  "cell": [[4.245, 0.000, 0.000], [0.000, 4.245, 0.000], [0.000, 0.000, 4.245]],
  "species": ["Mn", "Mn", "Mn", "P", "S"],
  "fractional_positions": [[0.000, 0.000, 0.500], [0.000, 0.500, 0.000], [0.500, 0.000, 0.000], [0.500, 0.500, 0.500], [0.000, 0.000, 0.000]]
}


# 7
{
  "formula": "MnP2S",
  "functional": "PBE",
  "state": "optimized geometry",
  "crystal_system": "tetragonal",
  "n_ef_per_ev_cell": 13.1,
  "formation_energy_uncorrected_mev_per_atom": 231.1,
  "total_magnetization_mub_per_cell": 0.0,
  "cell": [[5.277, 0.000, 0.000], [0.000, 5.277, 0.000], [0.000, 0.000, 10.151]],
  "species": ["Mn", "Mn", "Mn", "Mn", "P", "P", "P", "P", "P", "P", "P", "P", "S", "S", "S", "S"],
  "fractional_positions": [[0.000, 0.000, 0.000], [0.000, 0.500, 0.250], [0.500, 0.000, 0.750], [0.500, 0.500, 0.500], [0.208, 0.250, 0.125], [0.250, 0.708, 0.375], [0.250, 0.792, 0.875], [0.292, 0.250, 0.625], [0.708, 0.750, 0.625], [0.750, 0.208, 0.875], [0.750, 0.292, 0.375], [0.792, 0.750, 0.125], [0.000, 0.000, 0.500], [0.000, 0.500, 0.750], [0.500, 0.000, 0.250], [0.500, 0.500, 0.000]]
}


# 8
{
  "formula": "MnPS3",
  "functional": "PBE",
  "state": "optimized geometry",
  "crystal_system": "monoclinic",
  "n_ef_per_ev_cell": 0.5,
  "formation_energy_uncorrected_mev_per_atom": -388.5,
  "total_magnetization_mub_per_cell": 10.0,
  "cell": [[3.042, -5.269, 0.000], [3.042, 5.269, 0.000], [-2.000, 0.000, 7.099]],
  "species": ["Mn", "Mn", "P", "P", "S", "S", "S", "S", "S", "S"],
  "fractional_positions": [[0.167, 0.833, 0.000], [0.833, 0.167, 0.000], [0.449, 0.449, 0.844], [0.551, 0.551, 0.156], [0.100, 0.425, 0.771], [0.250, 0.250, 0.228], [0.425, 0.100, 0.771], [0.575, 0.900, 0.229], [0.750, 0.750, 0.772], [0.900, 0.575, 0.229]]
}


# 9
{
  "formula": "MnPS4",
  "functional": "PBE",
  "state": "optimized geometry",
  "crystal_system": "monoclinic",
  "n_ef_per_ev_cell": 1.6,
  "formation_energy_uncorrected_mev_per_atom": -356.6,
  "total_magnetization_mub_per_cell": 4.0,
  "cell": [[13.940, 0.000, 0.000], [0.000, 3.289, 0.000], [-2.302, 0.000, 5.316]],
  "species": ["Mn", "Mn", "P", "P", "S", "S", "S", "S", "S", "S", "S", "S"],
  "fractional_positions": [[0.000, 0.000, 0.000], [0.500, 0.500, 0.000], [0.000, 0.500, 0.500], [0.500, 0.000, 0.500], [0.099, 0.500, 0.272], [0.101, 0.000, 0.769], [0.399, 0.500, 0.231], [0.401, 0.000, 0.728], [0.599, 0.000, 0.272], [0.601, 0.500, 0.769], [0.899, 0.000, 0.231], [0.901, 0.500, 0.728]]
}


# 10
{
  "formula": "MnSbPS2",
  "functional": "PBE",
  "state": "optimized geometry",
  "crystal_system": "tetragonal",
  "e_above_lowest_polymorph_kj_per_mol_fu": 238,
  "n_ef_per_ev_cell": 3.7,
  "formation_energy_uncorrected_mev_per_atom": 820.8,
  "total_magnetization_mub_per_cell": 4.6,
  "cell": [[4.957, 0.000, 0.000], [0.000, 4.957, 0.000], [0.000, 0.000, 5.081]],
  "species": ["Mn", "Sb", "P", "S", "S"],
  "fractional_positions": [[0.000, 0.000, 0.000], [0.500, 0.500, 0.500], [0.500, 0.500, 0.000], [0.000, 0.500, 0.500], [0.500, 0.000, 0.500]]
}


# 11
{
  "formula": "MnSbPS2",
  "functional": "PBE",
  "state": "optimized geometry",
  "crystal_system": "tetragonal",
  "e_above_lowest_polymorph_kj_per_mol_fu": 0,
  "n_ef_per_ev_cell": 5.4,
  "formation_energy_uncorrected_mev_per_atom": 326.6,
  "total_magnetization_mub_per_cell": 0.0,
  "cell": [[4.285, 0.000, 0.000], [0.000, 4.285, 0.000], [0.000, 0.000, 5.023]],
  "species": ["Mn", "Sb", "P", "S", "S"],
  "fractional_positions": [[0.000, 0.000, 0.000], [0.500, 0.500, 0.500], [0.000, 0.000, 0.500], [0.000, 0.500, 0.000], [0.500, 0.000, 0.000]]
}


# 12
{
  "formula": "ScMnPS2",
  "functional": "PBE",
  "state": "optimized geometry",
  "crystal_system": "tetragonal",
  "e_above_lowest_polymorph_kj_per_mol_fu": 0,
  "n_ef_per_ev_cell": 2.2,
  "formation_energy_uncorrected_mev_per_atom": -317.7,
  "total_magnetization_mub_per_cell": 3.3,
  "cell": [[4.513, 0.000, 0.000], [0.000, 4.513, 0.000], [0.000, 0.000, 4.550]],
  "species": ["Sc", "Mn", "P", "S", "S"],
  "fractional_positions": [[0.000, 0.000, 0.000], [0.500, 0.500, 0.500], [0.500, 0.500, 0.000], [0.000, 0.500, 0.500], [0.500, 0.000, 0.500]]
}


# 13
{
  "formula": "ScMnP2S",
  "functional": "PBE",
  "state": "optimized geometry",
  "crystal_system": "tetragonal",
  "e_above_lowest_polymorph_kj_per_mol_fu": 251,
  "n_ef_per_ev_cell": 4.4,
  "formation_energy_uncorrected_mev_per_atom": 373.5,
  "total_magnetization_mub_per_cell": 4.2,
  "cell": [[4.923, 0.000, 0.000], [0.000, 4.923, 0.000], [0.000, 0.000, 4.834]],
  "species": ["Sc", "Mn", "P", "P", "S"],
  "fractional_positions": [[0.000, 0.000, 0.000], [0.500, 0.500, 0.500], [0.000, 0.500, 0.000], [0.500, 0.000, 0.000], [0.000, 0.000, 0.500]]
}